This record from the Alexandria database describes a relaxed Li3Ga2Cu2 crystal. The functional is PBE-GGA.

Properties
E_form: -0.261 eV per atom
total magnetic moment: 0.00 μB per formula unit

Cell: 4.260 4.260 6.582 Å, 89.62 109.08 120.35°
Fractional positions:
Li: 0.289 0.145 0.435
Ga: 0.156 0.577 0.733
Li: 0.000 0.000 0.000
Cu: 0.430 0.716 0.146
Cu: 0.570 0.284 0.854
Ga: 0.844 0.423 0.267
Li: 0.711 0.855 0.565